Material: CaCr4Se
Method: DFT, PBE
State: relaxed

Summary:
Energy (eV/cell): -40.12
Symmetry: F-43m, No. 216
N(E_F) (states/eV/f.u.): 8.7
Volume (Å³ per cell): 90
Magnetic moment (μB per atom): 0.00
Formation energy from raw total energies (eV per atom): 0.64

Unit cell a=5.0361 b=5.0361 c=5.0361 alpha=60.00 beta=60.00 gamma=60.00
With the nearest neighbours (Å) after each atom.
Sites, in units of the cell vectors:
Ca: 0.0000 0.0000 0.0000  12 Cr 2.96, 4 Se 3.08
Cr: 0.1303 0.6232 0.6232  6 Cr 2.48-2.55
Cr: 0.6232 0.1303 0.6232  6 Cr 2.48-2.55
Cr: 0.6232 0.6232 0.1303  6 Cr 2.48-2.55
Cr: 0.6232 0.6232 0.6232  6 Cr 2.48-2.55
Se: 0.2500 0.2500 0.2500  12 Cr 2.95, 4 Ca 3.08